Entry from the Alexandria database: a relaxed structure of Ta2AlW (GGA-PBEsol).

POSCAR file:
```
Ta2AlW
1.0
2.757 0.000 0.000
0.000 4.544 0.000
-0.951 0.000 5.276
Ta Al W
2 1 1
Direct
0.241 0.000 0.256
0.759 0.000 0.744
0.500 0.500 0.000
0.000 0.500 0.500
```

Calculated values
N(E_F), states/eV/f.u.: 2.7
DFT formation energy, eV per atom: -0.05
V, Å³/cell: 66